Compound: V4CuO11
Source: the Alexandria database
Functional: PBE+U
Structure: optimized geometry

Cell and atoms, written as CIF:
```
data_V4CuO11
_chemical_formula_sum 'V8 Cu2 O22'
_symmetry_space_group_name_H-M 'C 1 m 1'
_symmetry_Int_Tables_number 8
_cell_length_a 15.2491
_cell_length_b 3.6133
_cell_length_c 7.3450
_cell_angle_alpha 90.00
_cell_angle_beta 104.64
_cell_angle_gamma 90.00
loop_
_symmetry_equiv_pos_as_xyz
'x,y,z'
'x,-y,z'
'x+1/2,y+1/2,z'
'x+1/2,-y+1/2,z'
loop_
_atom_site_label
_atom_site_type_symbol
_atom_site_fract_x
_atom_site_fract_y
_atom_site_fract_z
V1 V 0.0000 0.0000 0.0000
V2 V 0.0416 0.5000 0.6613
V3 V 0.2737 0.5000 0.9756
V4 V 0.3317 0.0000 0.6676
Cu1 Cu 0.1599 0.5000 0.3112
O1 O 0.0375 0.0000 0.7332
O2 O 0.0796 0.5000 0.4672
O3 O 0.1013 0.0000 0.1701
O4 O 0.1660 0.5000 0.8335
O5 O 0.2353 0.0000 0.5014
O6 O 0.2545 0.5000 0.1930
O7 O 0.2985 0.0000 0.9196
O8 O 0.3466 0.5000 0.7425
O9 O 0.4184 0.0000 0.5446
O10 O 0.4177 0.5000 0.1138
O11 O 0.4930 0.0000 0.9183
```

Summary:
density of states at the Fermi level = 1.04 states/eV/cell
M_tot = 2.01 Bohr magnetons per cell
E = -228.37 eV for the cell shown